A relaxed structure of Cs2KSrPd, computed with PBE-GGA.

Magnetization (μB per formula unit): 0.000
Energy of formation (eV per atom): 0.02
Symmetry: P4/mmm

Unit cell a=7.2185 b=7.2185 c=6.0094 alpha=90.00 beta=90.00 gamma=90.00
With the nearest neighbours (Å) after each atom.
Fractional coordinates of all 5 atoms:
Cs 0.0000 0.5000 0.0000  2 Pd 3.61
Cs 0.5000 0.0000 0.0000  2 Pd 3.61
K 0.0000 0.0000 0.5000  8 Cs 4.70, 4 Sr 5.10
Sr 0.5000 0.5000 0.5000  2 Pd 3.00
Pd 0.5000 0.5000 0.0000  2 Sr 3.00